Here is AlBiTeO6 after structural relaxation from Alexandria via LeMat-Bulk. Energies are from PBE.

Output
- Energy relative to the elements, uncorrected: -162.97 kJ/mol of atoms
- Crystal system: trigonal

Geometry as POSCAR:
```
AlBiTeO6
1.0
5.1359 0.0000 0.0000
-2.5680 4.4479 0.0000
0.0000 0.0000 10.1039
Al Bi Te O
2 2 2 12
direct
0.3333 0.6667 0.2500
0.6667 0.3333 0.7500
0.0000 0.0000 0.0000
0.0000 0.0000 0.5000
0.3333 0.6667 0.7500
0.6667 0.3333 0.2500
0.0036 0.3754 0.1440
0.0036 0.6282 0.3560
0.3718 0.3754 0.3560
0.3718 0.9964 0.1440
0.3754 0.0036 0.6440
0.3754 0.3718 0.8560
0.6246 0.6282 0.1440
0.6246 0.9964 0.3560
0.6282 0.0036 0.8560
0.6282 0.6246 0.6440
0.9964 0.3718 0.6440
0.9964 0.6246 0.8560
```


Here is Sr6Pt2NCl3 after structural relaxation from Alexandria via LeMat-Bulk. Energies are from PBE.

Output
- Energy relative to the elements, uncorrected: -128.10 kJ/mol of atoms
- Crystal system: monoclinic

Geometry as POSCAR:
```
Sr6Pt2NCl3
1.0
3.6730 -6.4052 0.0000
3.6730 6.4052 0.0000
-2.4114 0.0000 7.3606
Sr Pt N Cl
6 2 1 3
direct
0.0679 0.3650 0.2061
0.2342 0.2342 0.7963
0.3650 0.0679 0.2061
0.6350 0.9321 0.7939
0.7658 0.7658 0.2037
0.9321 0.6350 0.7939
0.3316 0.6684 0.0000
0.6684 0.3316 0.0000
0.0000 0.0000 0.0000
0.1563 0.8437 0.5000
0.5000 0.5000 0.5000
0.8437 0.1563 0.5000
```


> Which of these has the lowest energy relative to the elements, uncorrected?

AlBiTeO6